Ni2Hg2IrO6 after structural relaxation, computed with PBE with a Hubbard U.

```
data_Ni2Hg2IrO6
_chemical_formula_sum 'Ni4 Hg4 Ir2 O12'
_space_group_name_H-M_alt 'C 1 2/m 1'
_space_group_IT_number 12
_space_group_name_Hall '-C 2y'
_cell_length_a 5.391
_cell_length_b 9.319
_cell_length_c 6.223
_cell_angle_alpha 90.00
_cell_angle_beta 97.91
_cell_angle_gamma 90.00
loop_
_atom_site_label
_atom_site_fract_x
_atom_site_fract_y
_atom_site_fract_z
Ni1 0.000 0.159 0.000
Hg1 0.000 0.334 0.500
Ir1 0.000 0.500 0.000
O1 0.127 0.335 0.832
O2 0.157 0.000 0.838
```

Output
Its theoretical density is 8.7 g/cm³. As for the uncorrected energy: -103.0 eV per cell.